A plane-wave DFT calculation with GGA-PBE was carried out for a geometry-optimized YTlCd3 structure.

Cell lengths 5.4302, 5.4302, 5.4302 Å; angles 90.00, 90.00, 90.00 degrees
Fractional positions:
Y  0.5000  0.5000  0.5000
Tl  0.0000  0.0000  0.0000
Cd  0.0000  0.5000  0.0000
Cd  0.0000  0.0000  0.5000
Cd  0.5000  0.0000  0.0000

- magnetization (μB per formula unit) = 0.0
- symmetry = Pm-3m, No. 221
- energy relative to the elements (eV/atom) = 0.465